No. 1
# Ag5Pt4 (meta-GGA SCAN, single point on PBEsol structure)
data_Ag5Pt4
_cell_length_a 4.858
_cell_length_b 4.853
_cell_length_c 7.442
_cell_angle_alpha 71.17
_cell_angle_beta 89.97
_cell_angle_gamma 60.08
_symmetry_space_group_name_H-M 'P 1'
_symmetry_Int_Tables_number 1
_symmetry_space_group_name_Hall 'P 1'
loop_
_atom_site_label
_atom_site_type_symbol
_atom_site_fract_x
_atom_site_fract_y
_atom_site_fract_z
Ag1 Ag 0.891 0.553 0.668
Ag2 Ag 0.661 0.670 0.000
Ag3 Ag 0.109 0.447 0.332
Ag4 Ag 0.339 0.330 0.000
Ag5 Ag 0.000 0.000 0.000
Pt1 Pt 0.778 0.113 0.336
Pt2 Pt 0.442 0.778 0.337
Pt3 Pt 0.558 0.222 0.663
Pt4 Pt 0.222 0.887 0.664
# - polymorph energy (0 for the lowest one) (kJ/mol of formula units) = 30
# - DFT total energy (eV per atom) = -48.585
# - calculated formation energy (meV per atom) = 38

***

No. 2
# AgPt4 (meta-GGA SCAN, single point on PBEsol structure)
data_AgPt4
_cell_length_a 2.760
_cell_length_b 2.760
_cell_length_c 10.180
_cell_angle_alpha 97.79
_cell_angle_beta 97.79
_cell_angle_gamma 90.00
_symmetry_space_group_name_H-M 'P 1'
_symmetry_Int_Tables_number 1
_symmetry_space_group_name_Hall 'P 1'
loop_
_atom_site_label
_atom_site_type_symbol
_atom_site_fract_x
_atom_site_fract_y
_atom_site_fract_z
Pt1 Pt 0.201 0.201 0.402
Pt2 Pt 0.396 0.396 0.793
Pt3 Pt 0.799 0.799 0.598
Pt4 Pt 0.604 0.604 0.207
Ag1 Ag 0.000 0.000 0.000
# - polymorph energy (0 for the lowest one) (kJ/mol of formula units) = 9
# - DFT total energy (eV per atom) = -62.383
# - calculated formation energy (meV per atom) = 45

***

No. 3
# Ag3Pt7 (meta-GGA SCAN, single point on PBEsol structure)
data_Ag3Pt7
_cell_length_a 3.945
_cell_length_b 3.975
_cell_length_c 9.963
_cell_angle_alpha 90.00
_cell_angle_beta 101.42
_cell_angle_gamma 90.00
_symmetry_space_group_name_H-M 'P 1'
_symmetry_Int_Tables_number 1
_symmetry_space_group_name_Hall 'P 1'
loop_
_atom_site_label
_atom_site_type_symbol
_atom_site_fract_x
_atom_site_fract_y
_atom_site_fract_z
Pt1 Pt 0.501 0.500 0.001
Pt2 Pt 0.102 0.500 0.203
Pt3 Pt 0.699 0.500 0.399
Pt4 Pt 0.202 0.000 0.405
Pt5 Pt 0.398 0.000 0.795
Pt6 Pt 0.800 0.000 0.600
Pt7 Pt 0.299 0.500 0.597
Ag1 Ag 0.000 0.000 0.999
Ag2 Ag 0.901 0.500 0.801
Ag3 Ag 0.600 0.000 0.200
# - DFT total energy (eV per atom) = -58.486
# - calculated formation energy (meV per atom) = 59

***

No. 4
# Ag5Pt (meta-GGA SCAN, single point on PBEsol structure)
data_Ag5Pt
_cell_length_a 2.824
_cell_length_b 2.824
_cell_length_c 12.179
_cell_angle_alpha 90.00
_cell_angle_beta 90.00
_cell_angle_gamma 90.00
_symmetry_space_group_name_H-M 'P 1'
_symmetry_Int_Tables_number 1
_symmetry_space_group_name_Hall 'P 1'
loop_
_atom_site_label
_atom_site_type_symbol
_atom_site_fract_x
_atom_site_fract_y
_atom_site_fract_z
Ag1 Ag 0.000 0.000 0.338
Ag2 Ag 0.000 0.000 0.662
Ag3 Ag 0.500 0.500 0.831
Ag4 Ag 0.500 0.500 0.169
Ag5 Ag 0.000 0.000 0.000
Pt1 Pt 0.500 0.500 0.500
# - polymorph energy (0 for the lowest one) (kJ/mol of formula units) = 5
# - DFT total energy (eV per atom) = -37.830
# - calculated formation energy (meV per atom) = 8

***

No. 5
# Ag5Pt7 (meta-GGA SCAN, single point on PBEsol structure)
data_Ag5Pt7
_cell_length_a 3.904
_cell_length_b 6.298
_cell_length_c 7.964
_cell_angle_alpha 90.00
_cell_angle_beta 90.00
_cell_angle_gamma 108.05
_symmetry_space_group_name_H-M 'P 1'
_symmetry_Int_Tables_number 1
_symmetry_space_group_name_Hall 'P 1'
loop_
_atom_site_label
_atom_site_type_symbol
_atom_site_fract_x
_atom_site_fract_y
_atom_site_fract_z
Pt1 Pt 0.329 0.657 0.991
Pt2 Pt 0.832 0.664 0.747
Pt3 Pt 0.671 0.343 0.991
Pt4 Pt 0.000 0.000 0.506
Pt5 Pt 0.666 0.331 0.506
Pt6 Pt 0.334 0.669 0.506
Pt7 Pt 0.168 0.336 0.747
Ag1 Ag 0.000 0.000 0.001
Ag2 Ag 0.833 0.666 0.251
Ag3 Ag 0.500 0.000 0.754
Ag4 Ag 0.167 0.334 0.251
Ag5 Ag 0.500 0.000 0.250
# - polymorph energy (0 for the lowest one) (kJ/mol of formula units) = 48
# - DFT total energy (eV per atom) = -53.971
# - calculated formation energy (meV per atom) = 45

***

No. 6
# Ag2Pt3 (meta-GGA SCAN, single point on PBEsol structure)
data_Ag2Pt3
_cell_length_a 2.769
_cell_length_b 3.956
_cell_length_c 7.468
_cell_angle_alpha 105.36
_cell_angle_beta 100.68
_cell_angle_gamma 90.00
_symmetry_space_group_name_H-M 'P 1'
_symmetry_Int_Tables_number 1
_symmetry_space_group_name_Hall 'P 1'
loop_
_atom_site_label
_atom_site_type_symbol
_atom_site_fract_x
_atom_site_fract_y
_atom_site_fract_z
Ag1 Ag 0.300 0.800 0.600
Ag2 Ag 0.700 0.200 0.400
Pt1 Pt 0.500 0.000 0.000
Pt2 Pt 0.096 0.596 0.192
Pt3 Pt 0.904 0.404 0.808
# - polymorph energy (0 for the lowest one) (kJ/mol of formula units) = 26
# - DFT total energy (eV per atom) = -54.623
# - calculated formation energy (meV per atom) = 40